# ZrBe2Si, relaxed, DFT GGA-PBEsol
# Uncorrected formation energy = -153 meV/atom
# VASP energy = -5.862 eV/atom
# M_tot = 0.0 μB per formula unit
data_ZrBe2Si
_cell_length_a 2.963
_cell_length_b 3.886
_cell_length_c 4.760
_cell_angle_alpha 90.00
_cell_angle_beta 90.00
_cell_angle_gamma 90.00
_space_group_name_H-M_alt 'P 1'
_space_group_IT_number 1
loop_
_space_group_symop_operation_xyz
'x,y,z'
loop_
_atom_site_label
_atom_site_type_symbol
_atom_site_fract_x
_atom_site_fract_y
_atom_site_fract_z
Be1 Be 0.500 0.000 0.761
Be2 Be 0.500 0.000 0.239
Si1 Si 0.500 0.500 0.500
Zr1 Zr 0.000 0.500 0.000

***

# ZrBeSi2, relaxed, DFT GGA-PBEsol
# Uncorrected formation energy = -149 meV/atom
# VASP energy = -6.295 eV/atom
# M_tot = 0.0 μB per formula unit
data_ZrBeSi2
_cell_length_a 5.311
_cell_length_b 5.438
_cell_length_c 5.438
_cell_angle_alpha 76.21
_cell_angle_beta 60.77
_cell_angle_gamma 60.77
_space_group_name_H-M_alt 'P 1'
_space_group_IT_number 1
loop_
_space_group_symop_operation_xyz
'x,y,z'
loop_
_atom_site_label
_atom_site_type_symbol
_atom_site_fract_x
_atom_site_fract_y
_atom_site_fract_z
Be1 Be 0.500 0.000 0.000
Be2 Be 0.250 0.500 0.500
Si1 Si 0.875 0.942 0.558
Si2 Si 0.375 0.058 0.442
Si3 Si 0.567 0.558 0.058
Si4 Si 0.183 0.442 0.942
Zr1 Zr 0.000 0.000 0.000
Zr2 Zr 0.750 0.500 0.500

***

# SmBe13, relaxed, DFT GGA-PBEsol
# VASP energy = -4.250 eV/atom
# M_tot = 0.0 μB per formula unit
data_SmBe13
_cell_length_a 7.216
_cell_length_b 7.216
_cell_length_c 7.216
_cell_angle_alpha 60.00
_cell_angle_beta 60.00
_cell_angle_gamma 60.00
_space_group_name_H-M_alt 'P 1'
_space_group_IT_number 1
loop_
_space_group_symop_operation_xyz
'x,y,z'
loop_
_atom_site_label
_atom_site_type_symbol
_atom_site_fract_x
_atom_site_fract_y
_atom_site_fract_z
Sm1 Sm 0.750 0.750 0.750
Sm2 Sm 0.250 0.250 0.250
Be1 Be 0.500 0.500 0.500
Be2 Be 0.000 0.000 0.000
Be3 Be 0.210 0.438 0.562
Be4 Be 0.790 0.562 0.438
Be5 Be 0.438 0.210 0.790
Be6 Be 0.562 0.790 0.210
Be7 Be 0.210 0.562 0.790
Be8 Be 0.062 0.290 0.938
Be9 Be 0.790 0.438 0.210
Be10 Be 0.938 0.710 0.062
Be11 Be 0.438 0.790 0.562
Be12 Be 0.290 0.062 0.710
Be13 Be 0.562 0.210 0.438
Be14 Be 0.710 0.938 0.290
Be15 Be 0.210 0.790 0.438
Be16 Be 0.938 0.290 0.710
Be17 Be 0.790 0.210 0.562
Be18 Be 0.062 0.710 0.290
Be19 Be 0.562 0.438 0.790
Be20 Be 0.290 0.938 0.062
Be21 Be 0.438 0.562 0.210
Be22 Be 0.710 0.062 0.938
Be23 Be 0.062 0.938 0.710
Be24 Be 0.938 0.062 0.290
Be25 Be 0.290 0.710 0.938
Be26 Be 0.710 0.290 0.062

***

# SrBe2Sn2, relaxed, DFT GGA-PBEsol
# VASP energy = -3.803 eV/atom
# M_tot = 0.0 μB per formula unit
data_SrBe2Sn2
_cell_length_a 4.378
_cell_length_b 4.378
_cell_length_c 6.214
_cell_angle_alpha 110.63
_cell_angle_beta 110.63
_cell_angle_gamma 90.00
_space_group_name_H-M_alt 'P 1'
_space_group_IT_number 1
loop_
_space_group_symop_operation_xyz
'x,y,z'
loop_
_atom_site_label
_atom_site_type_symbol
_atom_site_fract_x
_atom_site_fract_y
_atom_site_fract_z
Sr1 Sr 0.000 0.000 0.000
Sn1 Sn 0.366 0.366 0.733
Sn2 Sn 0.634 0.634 0.267
Be1 Be 0.250 0.750 0.500
Be2 Be 0.750 0.250 0.500

***

# TaBe3Sn, relaxed, DFT GGA-PBEsol
# VASP energy = -4.139 eV/atom
# M_tot = 0.0 μB per formula unit
data_TaBe3Sn
_cell_length_a 4.345
_cell_length_b 4.345
_cell_length_c 4.345
_cell_angle_alpha 90.00
_cell_angle_beta 90.00
_cell_angle_gamma 90.00
_space_group_name_H-M_alt 'P 1'
_space_group_IT_number 1
loop_
_space_group_symop_operation_xyz
'x,y,z'
loop_
_atom_site_label
_atom_site_type_symbol
_atom_site_fract_x
_atom_site_fract_y
_atom_site_fract_z
Be1 Be 0.000 0.500 0.000
Be2 Be 0.000 0.000 0.500
Be3 Be 0.500 0.000 0.000
Sn1 Sn 0.000 0.000 0.000
Ta1 Ta 0.500 0.500 0.500

***

# TaBeSn3, relaxed, DFT GGA-PBEsol
# VASP energy = -4.904 eV/atom
# M_tot = 0.8 μB per formula unit
data_TaBeSn3
_cell_length_a 4.746
_cell_length_b 4.746
_cell_length_c 4.746
_cell_angle_alpha 90.00
_cell_angle_beta 90.00
_cell_angle_gamma 90.00
_space_group_name_H-M_alt 'P 1'
_space_group_IT_number 1
loop_
_space_group_symop_operation_xyz
'x,y,z'
loop_
_atom_site_label
_atom_site_type_symbol
_atom_site_fract_x
_atom_site_fract_y
_atom_site_fract_z
Be1 Be 0.000 0.000 0.000
Sn1 Sn 0.000 0.500 0.000
Sn2 Sn 0.000 0.000 0.500
Sn3 Sn 0.500 0.000 0.000
Ta1 Ta 0.500 0.500 0.500

***

# Ta2BeTcSn, relaxed, DFT GGA-PBEsol
# VASP energy = -8.159 eV/atom
# M_tot = 0.7 μB per formula unit
data_Ta2BeTcSn
_cell_length_a 4.232
_cell_length_b 4.393
_cell_length_c 4.393
_cell_angle_alpha 90.00
_cell_angle_beta 90.00
_cell_angle_gamma 90.00
_space_group_name_H-M_alt 'P 1'
_space_group_IT_number 1
loop_
_space_group_symop_operation_xyz
'x,y,z'
loop_
_atom_site_label
_atom_site_type_symbol
_atom_site_fract_x
_atom_site_fract_y
_atom_site_fract_z
Tc1 Tc 0.500 0.500 0.500
Be1 Be 0.000 0.000 0.000
Sn1 Sn 0.500 0.000 0.000
Ta1 Ta 0.000 0.000 0.500
Ta2 Ta 0.000 0.500 0.000

***

# Ti2Be2Sn, relaxed, DFT GGA-PBEsol
# VASP energy = -6.049 eV/atom
# M_tot = 0.0 μB per formula unit
data_Ti2Be2Sn
_cell_length_a 3.642
_cell_length_b 6.167
_cell_length_c 6.167
_cell_angle_alpha 90.00
_cell_angle_beta 90.00
_cell_angle_gamma 90.00
_space_group_name_H-M_alt 'P 1'
_space_group_IT_number 1
loop_
_space_group_symop_operation_xyz
'x,y,z'
loop_
_atom_site_label
_atom_site_type_symbol
_atom_site_fract_x
_atom_site_fract_y
_atom_site_fract_z
Be1 Be 0.000 0.383 0.883
Be2 Be 0.000 0.883 0.617
Be3 Be 0.000 0.617 0.117
Be4 Be 0.000 0.117 0.383
Sn1 Sn 0.000 0.000 0.000
Sn2 Sn 0.000 0.500 0.500
Ti1 Ti 0.500 0.168 0.668
Ti2 Ti 0.500 0.668 0.832
Ti3 Ti 0.500 0.832 0.332
Ti4 Ti 0.500 0.332 0.168

***

# BeTlSn3, relaxed, DFT GGA-PBEsol
# VASP energy = -2.605 eV/atom
# M_tot = 0.0 μB per formula unit
data_BeTlSn3
_cell_length_a 5.602
_cell_length_b 5.602
_cell_length_c 5.602
_cell_angle_alpha 90.00
_cell_angle_beta 90.00
_cell_angle_gamma 90.00
_space_group_name_H-M_alt 'P 1'
_space_group_IT_number 1
loop_
_space_group_symop_operation_xyz
'x,y,z'
loop_
_atom_site_label
_atom_site_type_symbol
_atom_site_fract_x
_atom_site_fract_y
_atom_site_fract_z
Be1 Be 0.500 0.500 0.500
Tl1 Tl 0.000 0.000 0.000
Sn1 Sn 0.000 0.500 0.000
Sn2 Sn 0.000 0.000 0.500
Sn3 Sn 0.500 0.000 0.000

***

# ZrBe3Sn, relaxed, DFT GGA-PBEsol
# VASP energy = -3.525 eV/atom
# M_tot = 0.0 μB per formula unit
data_ZrBe3Sn
_cell_length_a 4.626
_cell_length_b 4.626
_cell_length_c 4.626
_cell_angle_alpha 90.00
_cell_angle_beta 90.00
_cell_angle_gamma 90.00
_space_group_name_H-M_alt 'P 1'
_space_group_IT_number 1
loop_
_space_group_symop_operation_xyz
'x,y,z'
loop_
_atom_site_label
_atom_site_type_symbol
_atom_site_fract_x
_atom_site_fract_y
_atom_site_fract_z
Be1 Be 0.000 0.500 0.000
Be2 Be 0.000 0.000 0.500
Be3 Be 0.500 0.000 0.000
Sn1 Sn 0.500 0.500 0.500
Zr1 Zr 0.000 0.000 0.000

***

- M_tot of number 8 (Ti2Be2Sn)?
  0.0 μB per formula unit

***

- The highest VASP energy belongs to which entry?
  BeTlSn3

***

- Which of these has the highest M_tot?
  TaBeSn3